# PBE with a Hubbard U VZn2CF, relaxed
data_VZn2CF
_chemical_formula_sum 'V1 Zn2 C1 F1'
_space_group_name_H-M_alt 'P 4/m m m'
_space_group_IT_number 123
_space_group_name_Hall '-P 4 2'
_cell_length_a 3.930
_cell_length_b 3.930
_cell_length_c 4.916
_cell_angle_alpha 90.00
_cell_angle_beta 90.00
_cell_angle_gamma 90.00
loop_
_atom_site_label
_atom_site_fract_x
_atom_site_fract_y
_atom_site_fract_z
V1 0.000 0.000 0.000
Zn1 0.000 0.500 0.500
C1 0.500 0.500 0.000
F1 0.500 0.500 0.500
# Total DFT energy (no corrections) = -15.70 eV/cell